Compound: AlIr2Cl
Source: Alexandria via LeMat-Bulk
Functional: PBE
Structure: optimized geometry

Structure (POSCAR):
```
AlIr2Cl
1.0
0.0000 3.1019 3.1019
3.1019 0.0000 3.1019
3.1019 3.1019 0.0000
Al Ir Cl
1 2 1
direct
0.0000 0.0000 0.0000
0.2500 0.2500 0.2500
0.7500 0.7500 0.7500
0.5000 0.5000 0.5000
```

## Properties
Excess energy over the best structure of this formula in the dataset (meV per atom): 526
E_form (uncorrected) (kJ/mol of formula units): 183.1